[1]
Crystalline HPd at its relaxed geometry, computed with PBE.

Results
**Total magnetization**: 0.000 μB per atom
**Final energy**: -4.3643 eV per atom
**Space-group type**: No. 186
**Offset from the most stable computed form**: 0.04 eV per formula unit

```
data_HPd
_symmetry_space_group_name_H-M 'P 1'
_symmetry_Int_Tables_number 1
_cell_length_a 2.926
_cell_length_b 2.926
_cell_length_c 5.130
_cell_angle_alpha 90.00
_cell_angle_beta 90.00
_cell_angle_gamma 120.00
loop_
_symmetry_equiv_pos_as_xyz
'x,y,z'
loop_
_atom_site_label
_atom_site_type_symbol
_atom_site_fract_x
_atom_site_fract_y
_atom_site_fract_z
H1 H 0.667 0.333 0.512
H2 H 0.333 0.667 0.012
Pd1 Pd 0.667 0.333 0.863
Pd2 Pd 0.333 0.667 0.363
```

[2]
Crystalline H7Pd5 at its relaxed geometry, computed with PBE.

Results
**Total magnetization**: 0.000 μB per atom
**Final energy**: -4.1438 eV per atom
**Space-group type**: No. 12

```
data_H7Pd5
_symmetry_space_group_name_H-M 'P 1'
_symmetry_Int_Tables_number 1
_cell_length_a 2.869
_cell_length_b 4.971
_cell_length_c 7.606
_cell_angle_alpha 106.81
_cell_angle_beta 90.00
_cell_angle_gamma 106.77
loop_
_symmetry_equiv_pos_as_xyz
'x,y,z'
loop_
_atom_site_label
_atom_site_type_symbol
_atom_site_fract_x
_atom_site_fract_y
_atom_site_fract_z
H1 H 0.277 0.553 0.642
H2 H 0.723 0.447 0.358
H3 H 0.951 0.902 0.218
H4 H 0.049 0.098 0.782
H5 H 0.638 0.276 0.027
H6 H 0.500 0.000 0.500
H7 H 0.362 0.724 0.973
Pd1 Pd 0.114 0.228 0.419
Pd2 Pd 0.886 0.772 0.581
Pd3 Pd 0.318 0.635 0.194
Pd4 Pd 0.682 0.365 0.806
Pd5 Pd 0.000 0.000 0.000
```